{"formula": "BeAlCu4", "functional": "PBE", "state": "optimized geometry", "lattice": [[-0.6561, -3.6788, -0.8101], [2.5723, -0.8524, 1.7875], [-4.6220, 0.0143, 3.6767]], "species": ["Be", "Al", "Cu", "Cu", "Cu", "Cu"], "fractional_positions": [[0.0013, 0.8354, 0.4237], [0.5015, 0.6612, 0.0761], [0.5013, 0.3293, 0.4118], [0.5011, 0.9931, 0.7402], [0.0011, 0.4903, 0.7350], [0.0014, 0.1743, 0.1020]], "crystal_system": "monoclinic", "dos_at_fermi_per_ev_cell": 1.33, "relative_energy_ev_per_fu": 0.14, "ef_ev_per_atom": -0.11}

{"formula": "Ac2AlGe6Mo", "functional": "PBE", "state": "optimized geometry", "lattice": [[-4.4639, -1.0410, 4.7486], [4.6327, -5.9886, 3.0421], [4.1086, 5.7845, 5.1304]], "species": ["Ac", "Ac", "Ac", "Ac", "Al", "Al", "Ge", "Ge", "Ge", "Ge", "Ge", "Ge", "Ge", "Ge", "Ge", "Ge", "Ge", "Ge", "Mo", "Mo"], "fractional_positions": [[0.5000, 0.7503, 0.2505], [0.0000, 0.2497, 0.7505], [0.5000, 0.7503, 0.7495], [0.0000, 0.2497, 0.2495], [0.0000, 0.6091, 0.5000], [0.5000, 0.3909, 0.0000], [0.5000, 0.1886, 0.2131], [0.5000, 0.1886, 0.7869], [0.0000, 0.8114, 0.2869], [0.0000, 0.8114, 0.7131], [0.2034, 0.9665, 0.5000], [0.7966, 0.9665, 0.5000], [0.3134, 0.4410, 0.5000], [0.6866, 0.4410, 0.5000], [0.8134, 0.5590, 0.0000], [0.1866, 0.5590, 0.0000], [0.2966, 0.0335, 0.0000], [0.7034, 0.0335, 0.0000], [0.5000, 0.1534, 0.5000], [0.0000, 0.8466, 0.0000]], "crystal_system": "orthorhombic", "dos_at_fermi_per_ev_cell": 9.29, "ef_ev_per_atom": -0.30}

{"formula": "TaTeBr3", "functional": "PBE", "state": "optimized geometry", "lattice": [[-3.1326, -1.9739, -5.9297], [5.4950, -2.0592, -6.3383], [-0.6201, -12.5402, 2.6880]], "species": ["Ta", "Ta", "Ta", "Ta", "Te", "Te", "Te", "Te", "Br", "Br", "Br", "Br", "Br", "Br", "Br", "Br", "Br", "Br", "Br", "Br"], "fractional_positions": [[0.9954, 0.8728, 0.1487], [0.1318, 0.8728, 0.3513], [0.0046, 0.1272, 0.8513], [0.8682, 0.1272, 0.6487], [0.3741, 0.6127, 0.1967], [0.0132, 0.6127, 0.3033], [0.6259, 0.3873, 0.8033], [0.9868, 0.3873, 0.6967], [0.7790, 0.1648, 0.0396], [0.0562, 0.1648, 0.4604], [0.2210, 0.8352, 0.9604], [0.9438, 0.8352, 0.5396], [0.7609, 0.7585, 0.0706], [0.4806, 0.7585, 0.4294], [0.2391, 0.2415, 0.9294], [0.5194, 0.2415, 0.5706], [0.7349, 0.0564, 0.3004], [0.2087, 0.0564, 0.1996], [0.2651, 0.9436, 0.6996], [0.7913, 0.9436, 0.8004]], "crystal_system": "monoclinic"}

{"formula": "RbPd3S", "functional": "PBE", "state": "optimized geometry", "lattice": [[-1.6788, -3.1695, 3.0723], [4.1346, 0.0221, 2.2821], [-1.5459, 3.5010, 2.7670]], "species": ["S", "Rb", "Pd", "Pd", "Pd"], "fractional_positions": [[0.0000, 0.0000, 0.0000], [0.5000, 0.5000, 0.5000], [0.0000, 0.5000, 0.0000], [0.0000, 0.0000, 0.5000], [0.5000, 0.0000, 0.0000]], "crystal_system": "cubic", "dos_at_fermi_per_ev_cell": 4.54, "relative_energy_ev_per_fu": 0.00}

Number 1: final energy -4.083 eV per atom. Number 2: final energy -5.348 eV per atom. Number 3: final energy -4.719 eV per atom. Number 4: final energy -4.295 eV per atom.